PBE KTl2ReF8, optimized geometry; final energy = -4.9219 eV/atom; spin magnetization = 2.00 Bohr magnetons per cell; energy relative to the elements, uncorrected = -2.151 eV/atom; calculated density = 5.1 g cm⁻³
1.0
4.850 0.000 0.000
0.000 8.096 0.000
-0.751 0.000 6.580
K Tl Re F
1 2 1 8
direct
0.000 0.000 0.000
0.500 0.238 0.500
0.500 0.762 0.500
0.000 0.500 0.000
0.106 0.324 0.825
0.106 0.676 0.825
0.350 0.500 0.160
0.433 0.000 0.269
0.567 0.000 0.731
0.650 0.500 0.840
0.894 0.324 0.175
0.894 0.676 0.175